Record 1
A plane-wave DFT calculation with PBE-GGA was carried out for a geometry-optimized Al6FeCo5 structure.

Values from the calculation:
SG: Cmmm, No. 65
E_form: -0.576 eV per atom

Lattice parameters (Å, degrees): 4.0354 5.7004 6.3793 90.00 108.42 90.00
Fractional positions:
Al: 0.8344 0.2485 0.6686
Co: 0.0000 0.5000 0.0000
Al: 0.5000 0.2480 0.0000
Al: 0.8344 0.7515 0.6686
Co: 0.3322 0.0000 0.6641
Co: 0.6676 0.5000 0.3355
Co: 0.6678 0.0000 0.3359
Fe: 0.0000 0.0000 0.0000
Al: 0.1656 0.7515 0.3314
Co: 0.3324 0.5000 0.6645
Al: 0.1656 0.2485 0.3314
Al: 0.5000 0.7520 0.0000


Record 2
A plane-wave DFT calculation with PBE-GGA was carried out for a geometry-optimized Rb4Ca3H10 structure.

Values from the calculation:
SG: I4/mmm, No. 139
VASP energy: -49.79 eV for the cell shown

Lattice parameters (Å, degrees): 4.4980 4.4980 16.6568 97.76 97.76 90.00
Fractional positions:
Rb: 0.7035 0.7035 0.4070
Rb: 0.4319 0.4319 0.8638
H: 0.6389 0.1389 0.2778
H: 0.2086 0.2086 0.4172
Ca: 0.0000 0.0000 0.0000
Rb: 0.2965 0.2965 0.5930
H: 0.7914 0.7914 0.5828
H: 0.9308 0.9308 0.8615
Ca: 0.1380 0.1380 0.2759
H: 0.8611 0.3611 0.7222
H: 0.1389 0.6389 0.2778
H: 0.3611 0.8611 0.7222
Ca: 0.8620 0.8620 0.7241
Rb: 0.5681 0.5681 0.1362
H: 0.0692 0.0692 0.1385
H: 0.5000 0.0000 0.0000
H: 0.0000 0.5000 0.0000


Record 3
A plane-wave DFT calculation with PBE-GGA was carried out for a geometry-optimized Ac2LaPt2Cl2 structure.

Values from the calculation:
Formation energy without anion corrections: -1.36 eV per atom
SG: I4/mmm, No. 139

Lattice parameters (Å, degrees): 5.4431 5.4431 8.8177 107.98 107.98 90.00
Fractional positions:
Ac: 0.3822 0.3822 0.7644
Cl: 0.8024 0.8024 0.6048
Pt: 0.5000 0.0000 0.0000
La: 0.0000 0.0000 0.0000
Pt: 0.0000 0.5000 0.0000
Cl: 0.1976 0.1976 0.3952
Ac: 0.6178 0.6178 0.2356